DFT (PBE) results for a relaxed structure of DyMg3Tl2.

Cell: 4.7729 9.5157 7.8580 Å, 119.32 90.00 104.52°
Closest atoms and distances in Å follow each position.
Atoms (fractional coordinates):
Dy 0.8850 0.7699 0.9450  6 Tl 3.29-3.54, 5 Mg 3.45-3.66
Dy 0.1150 0.2301 0.0550  6 Tl 3.29-3.54, 5 Mg 3.45-3.66
Mg 0.3013 0.6027 0.5196  2 Tl 2.91-2.99, 5 Mg 2.96-3.25
Mg 0.9290 0.8581 0.5591  3 Tl 2.86-3.00, 1 Mg 3.19
Mg 0.6295 0.2589 0.7561  4 Tl 2.87-3.04, 3 Mg 3.02-3.21
Mg 0.3705 0.7411 0.2439  4 Tl 2.87-3.04, 3 Mg 3.02-3.21
Mg 0.0710 0.1419 0.4409  3 Tl 2.86-3.00, 1 Mg 3.19
Mg 0.6987 0.3973 0.4804  2 Tl 2.91-2.99, 5 Mg 2.96-3.25
Tl 0.4820 0.9640 0.7913  4 Mg 2.86-2.91, 1 Tl 3.00
Tl 0.5180 0.0360 0.2087  4 Mg 2.86-2.91, 1 Tl 3.00
Tl 0.7592 0.5185 0.1922  7 Mg 2.99-3.30, 2 Dy 3.32
Tl 0.2408 0.4815 0.8078  7 Mg 2.99-3.30, 2 Dy 3.32

Output
Calculated density = 7178 kg/m3
Volume = 24.8 A^3/atom
Formation energy from the elements = -0.8 eV per formula unit

***

DFT (PBE) results for a relaxed structure of Dy5MgTl2.

Cell: 4.6360 6.0945 17.3891 Å, 90.00 90.00 112.35°
Closest atoms and distances in Å follow each position.
Atoms (fractional coordinates):
Dy 0.9562 0.9124 0.9015  1 Mg 3.06, 1 Tl 3.36, 2 Dy 3.38
Dy 0.9562 0.9124 0.5985  1 Mg 3.06, 1 Tl 3.36, 2 Dy 3.38
Dy 0.3455 0.6909 0.4597  3 Tl 3.18-3.55, 5 Dy 3.38-3.55
Dy 0.3455 0.6909 0.0403  3 Tl 3.18-3.55, 5 Dy 3.38-3.55
Dy 0.4636 0.9273 0.2500  3 Mg 3.17-3.38
Dy 0.5364 0.0727 0.7500  3 Mg 3.17-3.38
Dy 0.6545 0.3091 0.5403  3 Tl 3.18-3.55, 5 Dy 3.38-3.55
Dy 0.6545 0.3091 0.9597  3 Tl 3.18-3.55, 5 Dy 3.38-3.55
Dy 0.0438 0.0876 0.0985  1 Mg 3.06, 1 Tl 3.36, 2 Dy 3.38
Dy 0.0438 0.0876 0.4015  1 Mg 3.06, 1 Tl 3.36, 2 Dy 3.38
Mg 0.8179 0.6358 0.7500  4 Tl 3.00, 3 Dy 3.06-3.17
Mg 0.1821 0.3642 0.2500  4 Tl 3.00, 3 Dy 3.06-3.17
Tl 0.7579 0.5159 0.3477  2 Mg 3.00, 3 Dy 3.18-3.36
Tl 0.7579 0.5159 0.1523  2 Mg 3.00, 3 Dy 3.18-3.36
Tl 0.2421 0.4841 0.6523  2 Mg 3.00, 3 Dy 3.18-3.36
Tl 0.2421 0.4841 0.8477  2 Mg 3.00, 3 Dy 3.18-3.36

Output
Calculated density = 9104 kg/m3
Volume = 28.4 A^3/atom
Formation energy from the elements = -0.8 eV per formula unit

***

DFT (PBE) results for a relaxed structure of DyMgTl2.

Cell: 4.8973 4.8973 5.8002 Å, 65.03 65.03 60.00°
Closest atoms and distances in Å follow each position.
Atoms (fractional coordinates):
Tl 0.7618 0.7618 0.7146  3 Mg 3.03, 3 Dy 3.18
Tl 0.2382 0.2382 0.2854  3 Mg 3.03, 3 Dy 3.18
Mg 0.5000 0.5000 0.5000  6 Tl 3.03
Dy 0.0000 0.0000 0.0000  6 Tl 3.18

Output
Calculated density = 9402 kg/m3
Excess energy over the best structure of this formula in the dataset = 70 meV/atom
Volume = 26.3 A^3/atom
Formation energy from the elements = -0.8 eV per formula unit

***

DFT (PBE) results for a relaxed structure of Dy2MgTl.

Cell: 5.3334 5.3334 5.3334 Å, 60.00 60.00 60.00°
Closest atoms and distances in Å follow each position.
Atoms (fractional coordinates):
Tl 0.0000 0.0000 0.0000  8 Dy 3.27
Mg 0.5000 0.5000 0.5000  8 Dy 3.27
Dy 0.7500 0.7500 0.7500  4 Tl 3.27, 4 Mg 3.27
Dy 0.2500 0.2500 0.2500  4 Mg 3.27, 4 Tl 3.27

Output
Calculated density = 8571 kg/m3
Excess energy over the best structure of this formula in the dataset = 1 meV/atom
Volume = 26.8 A^3/atom
Formation energy from the elements = -0.9 eV per formula unit

***

DFT (PBE) results for a relaxed structure of Dy6MgTl.

Cell: 10.0124 10.0124 10.0124 Å, 151.00 151.00 41.48°
Closest atoms and distances in Å follow each position.
Atoms (fractional coordinates):
Dy 0.2477 0.2477 0.0000  12 Dy 3.51-3.57
Dy 0.8832 0.3832 0.5000  2 Tl 3.33, 2 Mg 3.33, 8 Dy 3.51-3.57
Dy 0.3832 0.8832 0.5000  2 Tl 3.33, 2 Mg 3.33, 8 Dy 3.51-3.57
Dy 0.1168 0.6168 0.5000  2 Mg 3.33, 2 Tl 3.33, 8 Dy 3.51-3.57
Dy 0.7523 0.7523 0.0000  12 Dy 3.51-3.57
Dy 0.6168 0.1168 0.5000  2 Mg 3.33, 2 Tl 3.33, 8 Dy 3.51-3.57
Mg 0.0000 0.0000 0.0000  8 Dy 3.33, 4 Tl 3.55
Tl 0.5000 0.5000 0.0000  8 Dy 3.33, 4 Mg 3.55

Output
Calculated density = 8489 kg/m3
Excess energy over the best structure of this formula in the dataset = 0 meV/atom
Volume = 29.4 A^3/atom
Formation energy from the elements = -0.9 eV per formula unit

***

DFT (PBE) results for a relaxed structure of Dy2MgTl2.

Cell: 4.5145 7.7745 7.7745 Å, 90.00 90.00 90.00°
Closest atoms and distances in Å follow each position.
Atoms (fractional coordinates):
Dy 0.5000 0.1674 0.6674  6 Tl 3.11-3.29
Dy 0.5000 0.6674 0.8326  6 Tl 3.11-3.29
Dy 0.5000 0.8326 0.3326  6 Tl 3.11-3.29
Dy 0.5000 0.3326 0.1674  6 Tl 3.11-3.29
Mg 0.0000 0.0000 0.0000  4 Tl 3.01
Mg 0.0000 0.5000 0.5000  4 Tl 3.01
Tl 0.0000 0.3617 0.8617  2 Mg 3.01, 1 Tl 3.04, 6 Dy 3.11-3.29
Tl 0.0000 0.8617 0.6383  2 Mg 3.01, 1 Tl 3.04, 6 Dy 3.11-3.29
Tl 0.0000 0.6383 0.1383  2 Mg 3.01, 1 Tl 3.04, 6 Dy 3.11-3.29
Tl 0.0000 0.1383 0.3617  2 Mg 3.01, 1 Tl 3.04, 6 Dy 3.11-3.29

Output
Calculated density = 9226 kg/m3
Volume = 27.3 A^3/atom
Formation energy from the elements = -1.4 eV per formula unit

***

DFT (PBE) results for a relaxed structure of Dy3MgTl4.

Cell: 5.2530 5.2527 8.5160 Å, 107.94 107.96 90.00°
Closest atoms and distances in Å follow each position.
Atoms (fractional coordinates):
Mg 0.5000 0.0000 0.0000  8 Tl 3.22
Tl 0.3784 0.3777 0.7568  2 Mg 3.22, 6 Dy 3.22-3.35
Tl 0.6216 0.6223 0.2432  2 Mg 3.22, 6 Dy 3.22-3.35
Tl 0.1216 0.1219 0.2432  6 Dy 3.22-3.35, 2 Mg 3.22
Tl 0.8784 0.8781 0.7568  6 Dy 3.22-3.35, 2 Mg 3.22
Dy 0.0000 0.5000 0.0000  8 Tl 3.22
Dy 0.7429 0.2434 0.4859  8 Tl 3.22-3.35
Dy 0.2571 0.7566 0.5141  8 Tl 3.22-3.35

Output
Calculated density = 10438 kg/m3
Excess energy over the best structure of this formula in the dataset = 0 meV/atom
Volume = 26.4 A^3/atom
Formation energy from the elements = -2.2 eV per formula unit

***

DFT (PBE) results for a relaxed structure of Dy6MgTl5.

Cell: 9.9752 6.4249 6.4396 Å, 60.08 83.79 77.47°
Closest atoms and distances in Å follow each position.
Atoms (fractional coordinates):
Dy 0.7492 0.0834 0.3355  5 Tl 3.23-3.25, 1 Mg 3.26
Dy 0.2508 0.5811 0.3355  5 Tl 3.23-3.25, 1 Mg 3.26
Dy 0.2507 0.2518 0.0000  5 Tl 3.23-3.25, 1 Mg 3.26
Dy 0.7493 0.7482 0.0000  5 Tl 3.23-3.25, 1 Mg 3.26
Dy 0.7492 0.4189 0.6645  5 Tl 3.23-3.25, 1 Mg 3.26
Dy 0.2508 0.9166 0.6645  5 Tl 3.23-3.25, 1 Mg 3.26
Mg 0.0000 0.0000 0.0000  6 Dy 3.26
Tl 0.5000 0.1665 0.6670  6 Dy 3.23-3.24
Tl 0.0000 0.3331 0.3338  6 Dy 3.24-3.25
Tl 0.5000 0.5000 0.0000  6 Dy 3.23-3.24
Tl 0.0000 0.6669 0.6662  6 Dy 3.24-3.25
Tl 0.5000 0.8335 0.3330  6 Dy 3.23-3.24

Output
Calculated density = 9612 kg/m3
Excess energy over the best structure of this formula in the dataset = 104 meV/atom
Volume = 29.1 A^3/atom
Formation energy from the elements = -2.5 eV per formula unit

***

DFT (PBE) results for a relaxed structure of Dy5Mg2Tl.

Cell: 7.8560 7.8560 9.4235 Å, 114.63 114.63 90.00°
Closest atoms and distances in Å follow each position.
Atoms (fractional coordinates):
Dy 0.5028 0.6799 0.6826  2 Tl 3.26, 3 Mg 3.33-3.36, 2 Dy 3.41-3.59
Dy 0.8201 0.9972 0.3174  2 Tl 3.26, 3 Mg 3.33-3.36, 2 Dy 3.41-3.59
Dy 0.0000 0.0000 0.0000  4 Mg 3.09
Dy 0.5000 0.5000 0.0000  4 Mg 3.09
Dy 0.1799 0.0028 0.6826  2 Tl 3.26, 3 Mg 3.33-3.36, 2 Dy 3.41-3.59
Dy 0.6799 0.1799 0.6826  2 Tl 3.26, 3 Mg 3.33-3.36, 2 Dy 3.41-3.59
Dy 0.0028 0.5028 0.6826  2 Tl 3.26, 3 Mg 3.33-3.36, 2 Dy 3.41-3.59
Dy 0.3201 0.8201 0.3174  2 Tl 3.26, 3 Mg 3.33-3.36, 2 Dy 3.41-3.59
Dy 0.9972 0.4972 0.3174  2 Tl 3.26, 3 Mg 3.33-3.36, 2 Dy 3.41-3.59
Dy 0.4972 0.3201 0.3174  2 Tl 3.26, 3 Mg 3.33-3.36, 2 Dy 3.41-3.59
Mg 0.1283 0.3717 0.0000  1 Mg 2.85, 2 Dy 3.09
Mg 0.6283 0.1283 0.0000  1 Mg 2.85, 2 Dy 3.09
Mg 0.3717 0.8717 0.0000  1 Mg 2.85, 2 Dy 3.09
Mg 0.8717 0.6283 0.0000  1 Mg 2.85, 2 Dy 3.09
Tl 0.7500 0.7500 0.5000  8 Dy 3.26
Tl 0.2500 0.2500 0.5000  8 Dy 3.26

Output
Calculated density = 7532 kg/m3
Volume = 29.4 A^3/atom
Formation energy from the elements = -0.2 eV per formula unit

***

DFT (PBE) results for a relaxed structure of Dy4MgTl.

Cell: 5.1650 5.1650 9.0582 Å, 73.44 73.44 60.00°
Closest atoms and distances in Å follow each position.
Atoms (fractional coordinates):
Dy 0.6240 0.6240 0.1280  3 Tl 3.18, 1 Mg 3.18
Dy 0.3760 0.3760 0.8720  3 Tl 3.18, 1 Mg 3.18
Dy 0.1251 0.1251 0.6246  3 Mg 3.17, 1 Tl 3.21
Dy 0.8749 0.8749 0.3754  3 Mg 3.17, 1 Tl 3.21
Mg 0.5000 0.5000 0.5000  8 Dy 3.17-3.18
Tl 0.0000 0.0000 0.0000  8 Dy 3.18-3.21

Output
Calculated density = 7384 kg/m3
Volume = 32.9 A^3/atom
Formation energy from the elements = 1.2 eV per formula unit